(1)
Here is a relaxed BaIn3S crystal from the Alexandria database. Energies are from PBE-GGA.

Unit cell a=5.5660 b=5.5660 c=5.5660 alpha=90.00 beta=90.00 gamma=90.00
Space group Pm-3m (No. 221)
Inequivalent atoms, fractional coordinates:
Ba 0.0000 0.0000 0.0000 [1 per cell]
In 0.0000 0.5000 0.5000 [3 per cell]
S 0.5000 0.5000 0.5000 [1 per cell]

Values from the calculation:
DOS(E_F)   4.70 states/eV per cell
Size of the total moment   0.0 μB/f.u.
Density   4.948 g/cm³

---

(2)
Here is a relaxed BaIn3S crystal from the Alexandria database. Energies are from PBE-GGA.

Unit cell a=6.4227 b=6.4227 c=6.4227 alpha=90.00 beta=90.00 gamma=90.00
Space group Pm-3m (No. 221)
Inequivalent atoms, fractional coordinates:
Ba 0.0000 0.0000 0.0000 [1 per cell]
In 0.0000 0.0000 0.5000 [3 per cell]
S 0.5000 0.5000 0.5000 [1 per cell]

Values from the calculation:
DOS(E_F)   5.58 states/eV per cell
Size of the total moment   0.0 μB/f.u.
Density   3.220 g/cm³

---

Computed energies relative to the best structure, in meV/atom: (1) 0; (2) 1063

---

(1)
Here is a relaxed Ba2InS crystal from the Alexandria database. Energies are from PBE-GGA.

Unit cell a=8.2383 b=8.2383 c=8.2383 alpha=90.00 beta=90.00 gamma=90.00
Space group Fm-3m (No. 225)
Inequivalent atoms, fractional coordinates:
Ba 0.2500 0.2500 0.2500 [8 per cell]
In 0.0000 0.0000 0.0000 [4 per cell]
S 0.0000 0.0000 0.5000 [4 per cell]

Values from the calculation:
DOS(E_F)   25.51 states/eV per cell
Size of the total moment   0.0 μB/f.u.
Density   5.008 g/cm³

---

(2)
Here is a relaxed Ba2InS crystal from the Alexandria database. Energies are from PBE-GGA.

Unit cell a=4.2897 b=4.2897 c=32.7005 alpha=90.00 beta=90.00 gamma=120.00
Space group R-3m (No. 166, hexagonal axes)
Inequivalent atoms, fractional coordinates:
Ba 0.0000 0.0000 0.1097 [6 per cell]
In 0.0000 0.0000 0.0000 [3 per cell]
S 0.0000 0.0000 0.5000 [3 per cell]

Values from the calculation:
DOS(E_F)   12.68 states/eV per cell
Size of the total moment   0.0 μB/f.u.
Density   4.030 g/cm³

---

(3)
Here is a relaxed Ba2InS crystal from the Alexandria database. Energies are from PBE-GGA.

Unit cell a=3.8706 b=3.8706 c=9.0946 alpha=90.00 beta=90.00 gamma=90.00
Space group P4/mmm (No. 123)
Inequivalent atoms, fractional coordinates:
Ba 0.0000 0.0000 0.2076 [2 per cell]
In 0.5000 0.5000 0.5000 [1 per cell]
S 0.5000 0.5000 0.0000 [1 per cell]

Values from the calculation:
DOS(E_F)   3.02 states/eV per cell
Size of the total moment   0.0 μB/f.u.
Density   5.137 g/cm³

---

(4)
Here is a relaxed Ba2InS crystal from the Alexandria database. Energies are from PBE-GGA.

Unit cell a=8.7175 b=8.7175 c=9.2291 alpha=90.00 beta=90.00 gamma=90.00
Space group I-42d (No. 122)
Inequivalent atoms, fractional coordinates:
Ba 0.1975 0.2500 0.1250 [8 per cell]
In 0.0000 0.0000 0.5000 [4 per cell]
S 0.0000 0.0000 0.0000 [4 per cell]

Values from the calculation:
DOS(E_F)   11.70 states/eV per cell
Size of the total moment   0.0 μB/f.u.
Density   3.992 g/cm³

---

Computed energies relative to the best structure, in meV/atom: (1) 364; (2) 243; (3) 0; (4) 159